## Tb2CoHg (PBE)

Data for crystalline Tb2CoHg at its relaxed geometry.

Output
D(E_F) (states/eV per atom): 0.58
ρ (Mg/m³): 9.58
Offset from the most stable computed form (meV/atom): 87
Space group: R3m (160)
Formation energy (meV per atom): -228
Crystal system: trigonal

a = 3.8910 Å, b = 3.8910 Å, c = 7.9568 Å
α = 75.85°, β = 75.85°, γ = 60.00°
Positions (direct):
Hg 0.5007 0.5007 0.4978
Tb 0.0644 0.0644 0.8068
Tb 0.2693 0.2693 0.1920
Co 0.6656 0.6656 0.0033

## NaAlCu3 (PBE)

Data for crystalline NaAlCu3 at its relaxed geometry.

Output
D(E_F) (states/eV per atom): 0.47
ρ (Mg/m³): 3.99
Offset from the most stable computed form (meV/atom): 0
Space group: Pm-3m (221)
Formation energy (meV per atom): 416
Crystal system: cubic

a = 4.6424 Å, b = 4.6424 Å, c = 4.6424 Å
α = 90.00°, β = 90.00°, γ = 90.00°
Positions (direct):
Cu 0.0000 0.5000 0.0000
Cu 0.0000 0.0000 0.5000
Cu 0.5000 0.0000 0.0000
Na 0.5000 0.5000 0.5000
Al 0.0000 0.0000 0.0000

## Y3Er4Se8 (PBE)

Data for crystalline Y3Er4Se8 at its relaxed geometry.

Output
D(E_F) (states/eV per atom): 0.42
ρ (Mg/m³): 6.95
Space group: C2/m (12)
Raw formation energy (meV per atom): -1817
Crystal system: monoclinic

a = 8.0879 Å, b = 8.0918 Å, c = 8.0918 Å
α = 90.01°, β = 119.97°, γ = 119.97°
Positions (direct):
Se 0.5000 0.2485 0.7515
Se 0.4955 0.7493 0.7493
Se 0.0000 0.7476 0.2524
Se 0.9970 0.2511 0.2511
Se 0.0030 0.7489 0.7489
Se 0.5045 0.2507 0.2507
Se 0.0000 0.2524 0.7476
Se 0.5000 0.7515 0.2485
Er 0.0000 0.0000 0.5000
Er 0.0000 0.0000 0.0000
Er 0.0000 0.5000 0.0000
Er 0.5000 0.0000 0.0000
Y 0.5000 0.0000 0.5000
Y 0.5000 0.5000 0.5000
Y 0.5000 0.5000 0.0000

## MnHgSb2I (PBE)

Data for crystalline MnHgSb2I at its relaxed geometry.

Output
D(E_F) (states/eV per atom): 0.55
ρ (Mg/m³): 5.53
Offset from the most stable computed form (meV/atom): 610
Space group: P4/mmm (123)
Raw formation energy (meV per atom): 982
Crystal system: tetragonal

a = 5.5274 Å, b = 5.5274 Å, c = 6.1559 Å
α = 90.00°, β = 90.00°, γ = 90.00°
Positions (direct):
Sb 0.5000 0.0000 0.0000
Sb 0.0000 0.5000 0.0000
Mn 0.5000 0.5000 0.5000
I 0.0000 0.0000 0.5000
Hg 0.0000 0.0000 0.0000

## Ca2SbOs (PBE)

Data for crystalline Ca2SbOs at its relaxed geometry.

Output
D(E_F) (states/eV per atom): 0.27
ρ (Mg/m³): 6.78
Space group: R-3m (166)
Raw formation energy (meV per atom): 187
Crystal system: trigonal

a = 9.7215 Å, b = 9.7215 Å, c = 9.7215 Å
α = 20.22°, β = 20.22°, γ = 20.22°
Positions (direct):
Ca 0.5092 0.5092 0.5092
Ca 0.9908 0.9908 0.9908
Sb 0.7500 0.7500 0.7500
Os 0.2500 0.2500 0.2500

## SbRhI2O (PBE)

Data for crystalline SbRhI2O at its relaxed geometry.

Output
D(E_F) (states/eV per atom): 2.23
ρ (Mg/m³): 5.62
Offset from the most stable computed form (meV/atom): 753
Space group: P4/mmm (123)
Raw formation energy (meV per atom): 777
Crystal system: tetragonal

a = 5.3797 Å, b = 5.3797 Å, c = 5.0441 Å
α = 90.00°, β = 90.00°, γ = 90.00°
Positions (direct):
O 0.5000 0.5000 0.5000
I 0.0000 0.5000 0.0000
I 0.5000 0.0000 0.0000
Sb 0.0000 0.0000 0.5000
Rh 0.0000 0.0000 0.0000

## AcTl3Ag (PBE)

Data for crystalline AcTl3Ag at its relaxed geometry.

Output
D(E_F) (states/eV per atom): 0.44
ρ (Mg/m³): 10.84
Space group: Pnma (62)
Formation energy (meV per atom): -168
Crystal system: orthorhombic

a = 4.9091 Å, b = 9.9689 Å, c = 11.8682 Å
α = 90.00°, β = 90.00°, γ = 90.00°
Positions (direct):
Ac 0.7500 0.7964 0.0023
Ac 0.2500 0.2036 0.9977
Ac 0.7500 0.2964 0.4977
Ac 0.2500 0.7036 0.5023
Tl 0.2500 0.3856 0.6944
Tl 0.2500 0.5703 0.0998
Tl 0.7500 0.1249 0.8038
Tl 0.7500 0.6249 0.6962
Tl 0.7500 0.4297 0.9002
Tl 0.2500 0.8856 0.8056
Tl 0.2500 0.8751 0.1962
Tl 0.2500 0.3751 0.3038
Tl 0.7500 0.9297 0.5998
Tl 0.2500 0.0703 0.4002
Tl 0.7500 0.6144 0.3056
Tl 0.7500 0.1144 0.1944
Ag 0.7500 0.3968 0.1454
Ag 0.7500 0.8968 0.3546
Ag 0.2500 0.6032 0.8546
Ag 0.2500 0.1032 0.6454

## Sc8AsS6 (PBE)

Data for crystalline Sc8AsS6 at its relaxed geometry.

Output
D(E_F) (states/eV per atom): 0.52
ρ (Mg/m³): 3.62
Space group: P-3 (147)
Raw formation energy (meV per atom): -1447
Crystal system: trigonal

a = 9.4786 Å, b = 9.4786 Å, c = 3.6980 Å
α = 90.00°, β = 90.00°, γ = 120.00°
Positions (direct):
Sc 0.3206 0.2895 0.7398
Sc 0.7105 0.0311 0.7398
Sc 0.6794 0.7105 0.2602
Sc 0.6667 0.3333 0.2564
Sc 0.9689 0.6794 0.7398
Sc 0.3333 0.6667 0.7436
Sc 0.0311 0.3206 0.2602
Sc 0.2895 0.9689 0.2602
S 0.8669 0.3419 0.7559
S 0.5250 0.8669 0.2441
S 0.4750 0.1331 0.7559
S 0.1331 0.6581 0.2441
S 0.6581 0.5250 0.7559
S 0.3419 0.4750 0.2441
As 0.0000 0.0000 0.5000

## Ca2SnS4 (PBE)

Data for crystalline Ca2SnS4 at its relaxed geometry.

Output
ρ (Mg/m³): 3.11
Offset from the most stable computed form (meV/atom): 95
Space group: P4_122 (91)
Raw formation energy (meV per atom): -1303
Crystal system: tetragonal

a = 8.5707 Å, b = 8.5707 Å, c = 9.4968 Å
α = 90.00°, β = 90.00°, γ = 90.00°
Positions (direct):
S 0.5382 0.2719 0.7640
S 0.7320 0.0629 0.4590
S 0.0629 0.7320 0.2910
S 0.9371 0.7320 0.7090
S 0.4618 0.2719 0.2360
S 0.0629 0.2680 0.2090
S 0.2719 0.5382 0.9860
S 0.7320 0.9371 0.0410
S 0.2680 0.9371 0.9590
S 0.7281 0.5382 0.0140
S 0.7281 0.4618 0.4860
S 0.4618 0.7281 0.2640
S 0.5382 0.7281 0.7360
S 0.2680 0.0629 0.5410
S 0.2719 0.4618 0.5140
S 0.9371 0.2680 0.7910
Ca 0.0000 0.7390 0.0000
Ca 0.7596 0.2404 0.1250
Ca 0.7390 0.0000 0.7500
Ca 0.2610 0.0000 0.2500
Ca 0.2404 0.7596 0.6250
Ca 0.7596 0.7596 0.3750
Ca 0.0000 0.2610 0.5000
Ca 0.2404 0.2404 0.8750
Sn 0.2527 0.5000 0.2500
Sn 0.5000 0.2527 0.5000
Sn 0.5000 0.7473 0.0000
Sn 0.7473 0.5000 0.7500

## PmNd2Er (PBE)

Data for crystalline PmNd2Er at its relaxed geometry.

Output
D(E_F) (states/eV per atom): 1.45
ρ (Mg/m³): 7.38
Offset from the most stable computed form (meV/atom): 4
Space group: R3m (160)
Formation energy (meV per atom): 19
Crystal system: trigonal

a = 3.6380 Å, b = 3.6380 Å, c = 11.9794 Å
α = 81.27°, β = 81.27°, γ = 60.00°
Positions (direct):
Er 0.6669 0.6669 0.9992
Pm 0.4995 0.4995 0.5014
Nd 0.0819 0.0819 0.7543
Nd 0.2516 0.2516 0.2451

## SbRhSe3 (PBE)

Data for crystalline SbRhSe3 at its relaxed geometry.

Output
D(E_F) (states/eV per atom): 1.07
ρ (Mg/m³): 6.55
Space group: Pm-3m (221)
Raw formation energy (meV per atom): 266
Crystal system: cubic

a = 4.8910 Å, b = 4.8910 Å, c = 4.8910 Å
α = 90.00°, β = 90.00°, γ = 90.00°
Positions (direct):
Se 0.0000 0.5000 0.0000
Se 0.5000 0.0000 0.0000
Se 0.0000 0.0000 0.5000
Sb 0.5000 0.5000 0.5000
Rh 0.0000 0.0000 0.0000

## NdAs3Pd3 (PBE)

Data for crystalline NdAs3Pd3 at its relaxed geometry.

Output
D(E_F) (states/eV per atom): 0.68
ρ (Mg/m³): 8.41
Offset from the most stable computed form (meV/atom): 0
Space group: P6_3/m (176)
Formation energy (meV per atom): -541
Crystal system: hexagonal

a = 4.1360 Å, b = 8.7115 Å, c = 8.7115 Å
α = 120.00°, β = 90.00°, γ = 90.00°
Positions (direct):
As 0.2500 0.0601 0.4129
As 0.2500 0.3528 0.9399
As 0.7500 0.6472 0.0601
As 0.7500 0.9399 0.5871
As 0.7500 0.4129 0.3528
As 0.2500 0.5871 0.6472
Pd 0.7500 0.0878 0.2413
Pd 0.2500 0.2413 0.1534
Pd 0.2500 0.9122 0.7587
Pd 0.7500 0.7587 0.8466
Pd 0.2500 0.8466 0.0878
Pd 0.7500 0.1534 0.9122
Nd 0.2500 0.6667 0.3333
Nd 0.7500 0.3333 0.6667

## Mg3Ga2 (PBE)

Data for crystalline Mg3Ga2 at its relaxed geometry.

Output
D(E_F) (states/eV per atom): 0.38
ρ (Mg/m³): 3.38
Space group: R-3c (167)
Formation energy (meV per atom): -82
Crystal system: trigonal

a = 7.9650 Å, b = 7.9650 Å, c = 5.9639 Å
α = 48.11°, β = 48.11°, γ = 60.00°
Positions (direct):
Mg 0.7500 0.4411 0.7500
Mg 0.0589 0.7500 0.7500
Mg 0.9411 0.2500 0.2500
Mg 0.2500 0.5589 0.2500
Mg 0.5589 0.9411 0.2500
Mg 0.4411 0.0589 0.7500
Ga 0.3809 0.3809 0.8572
Ga 0.1191 0.1191 0.6428
Ga 0.8809 0.8809 0.3572
Ga 0.6191 0.6191 0.1428

Raw total energy values, unit eV/atom, following the record order: -4.39 -3.05 -6.18 -2.87 -4.65 -3.13 -2.98 -6.78 -4.80 -4.69 -4.12 -5.44 -2.25.